1.
Entry from the Alexandria database: a PBEsol-optimized structure of CsAl2Si2 (SCAN).

E, eV per atom: -14.66
Energy relative to the lowest polymorph listed for this composition, eV per atom: 0.000
Volume, Å³ per cell: 127.0
Total magnetic moment, μB/f.u.: 0.008

abc: 3.9576 3.9576 8.5806
angles: 103.33 103.33 90.00
Last column: nearest neighbours and their distance in Å.
Fractional positions:
Al  0.7500  0.2500  0.5000  4 Si 2.57, 4 Al 2.80
Al  0.2500  0.7500  0.5000  4 Si 2.57, 4 Al 2.80
Si  0.6490  0.6490  0.2979  4 Al 2.57
Si  0.3510  0.3510  0.7021  4 Al 2.57
Cs  0.0000  0.0000  0.0000  8 Si 3.70, 4 Cs 3.96

2.
Entry from the Alexandria database: a PBEsol-optimized structure of CsZr6MnCl14 (SCAN).

E, eV per atom: -17.92
Volume, Å³ per cell: 1092.6
Total magnetic moment, μB/f.u.: 0.000

abc: 9.6430 9.6430 11.8269
angles: 90.00 90.00 96.52
Last column: nearest neighbours and their distance in Å.
Fractional positions:
Cl  0.6218  0.8675  0.5036  2 Zr 2.55-2.56
Cl  0.8380  0.8380  0.2545  3 Zr 2.63-2.86
Cl  0.6620  0.6620  0.7545  3 Zr 2.63-2.86
Cl  0.2942  0.5405  0.7499  2 Zr 2.55-2.56
Cl  0.9056  0.4056  0.7500  2 Zr 2.64
Cl  0.0405  0.7942  0.7501  2 Zr 2.55-2.56
Cl  0.7058  0.4595  0.2501  2 Zr 2.55-2.56
Cl  0.8675  0.6218  0.5036  2 Zr 2.55-2.56
Cl  0.7516  0.2484  0.5000  2 Zr 2.53
Cl  0.8782  0.6325  0.0036  2 Zr 2.55-2.56
Cl  0.5405  0.2942  0.7499  2 Zr 2.55-2.56
Cl  0.6325  0.8782  0.0036  2 Zr 2.55-2.56
Cl  0.2516  0.7484  0.0000  2 Zr 2.53
Cl  0.0944  0.5944  0.2500  2 Zr 2.64
Cl  0.1325  0.3782  0.4964  2 Zr 2.55-2.56
Cl  0.1620  0.1620  0.7455  3 Zr 2.63-2.86
Cl  0.7484  0.2516  0.0000  2 Zr 2.53
Cl  0.3675  0.1218  0.9964  2 Zr 2.55-2.56
Cl  0.7942  0.0405  0.7501  2 Zr 2.55-2.56
Cl  0.2484  0.7516  0.5000  2 Zr 2.53
Cl  0.4056  0.9056  0.7500  2 Zr 2.64
Cl  0.2058  0.9595  0.2499  2 Zr 2.55-2.56
Cl  0.3782  0.1325  0.4964  2 Zr 2.55-2.56
Cl  0.1218  0.3675  0.9964  2 Zr 2.55-2.56
Cl  0.4595  0.7058  0.2501  2 Zr 2.55-2.56
Cl  0.9595  0.2058  0.2499  2 Zr 2.55-2.56
Cl  0.3380  0.3380  0.2455  3 Zr 2.63-2.86
Cl  0.5944  0.0944  0.2500  2 Zr 2.64
Zr  0.6959  0.4544  0.6172  1 Mn 2.42, 5 Cl 2.53-2.64
Zr  0.1510  0.1510  0.1142  1 Mn 2.36, 4 Cl 2.55
Zr  0.8041  0.0456  0.1172  1 Mn 2.42, 5 Cl 2.53-2.64
Zr  0.0456  0.8041  0.1172  1 Mn 2.42, 5 Cl 2.53-2.64
Zr  0.3041  0.5456  0.3828  1 Mn 2.42, 5 Cl 2.53-2.64
Zr  0.3490  0.3490  0.6142  1 Mn 2.36, 4 Cl 2.55
Zr  0.6510  0.6510  0.3858  1 Mn 2.36, 4 Cl 2.55
Zr  0.1959  0.9544  0.8828  1 Mn 2.42, 5 Cl 2.53-2.64
Zr  0.9544  0.1959  0.8828  1 Mn 2.42, 5 Cl 2.53-2.64
Zr  0.4544  0.6959  0.6172  1 Mn 2.42, 5 Cl 2.53-2.64
Zr  0.5456  0.3041  0.3828  1 Mn 2.42, 5 Cl 2.53-2.64
Zr  0.8490  0.8490  0.8858  1 Mn 2.36, 4 Cl 2.55
Cs  0.5000  0.5000  0.0000  12 Cl 3.57-3.73
Cs  0.0000  0.0000  0.5000  12 Cl 3.57-3.73
Mn  0.5000  0.5000  0.5000  6 Zr 2.36-2.42
Mn  0.0000  0.0000  0.0000  6 Zr 2.36-2.42

3.
Entry from the Alexandria database: a PBEsol-optimized structure of Ga2CuAsF (SCAN).

E, eV per atom: -14.39
Volume, Å³ per cell: 83.9
Total magnetic moment, μB/f.u.: 0.000

abc: 3.9224 4.6254 4.6254
angles: 90.00 90.00 90.00
Last column: nearest neighbours and their distance in Å.
Fractional positions:
Cu  0.5000  0.0000  0.0000  2 F 1.96
F  0.0000  0.0000  0.0000  2 Cu 1.96
Ga  0.0000  0.0000  0.5000  2 F 2.31
Ga  0.0000  0.5000  0.0000  2 F 2.31
As  0.5000  0.5000  0.5000  8 Ga 3.03, 4 Cu 3.27

no.,formation energy from raw total energies (meV/atom)
1,12.3
2,-1926.9
3,-67.8